No. 1
## ReHgP2 (GGA-PBE)

Data for a geometry-optimized ReHgP2 structure.

The calculated total energy is -4.865 eV/atom.

a = 3.150 Å, b = 4.251 Å, c = 4.892 Å
α = 90.00°, β = 90.00°, γ = 90.00°
Space group Pmmm (No. 47)
One atom of each set of equivalent atoms:
Re: 0.000 0.000 0.000 (multiplicity 1)
Hg: 0.500 0.000 0.500 (multiplicity 1)
P: 0.000 0.500 0.500 (multiplicity 1)
P: 0.500 0.500 0.000 (multiplicity 1)

No. 2
## ReHgP2 (GGA-PBE)

Data for a geometry-optimized ReHgP2 structure.

The calculated total energy is -4.746 eV/atom.

a = 6.406 Å, b = 6.406 Å, c = 6.406 Å
α = 90.00°, β = 90.00°, γ = 90.00°
Space group F-43m (No. 216)
One atom of each set of equivalent atoms:
Re: 0.000 0.000 0.000 (multiplicity 4)
Hg: 0.250 0.250 0.750 (multiplicity 4)
P: 0.000 0.000 0.500 (multiplicity 4)
P: 0.250 0.250 0.250 (multiplicity 4)

No. 3
## ReHgP2 (GGA-PBE)

Data for a geometry-optimized ReHgP2 structure.

The calculated total energy is -5.574 eV/atom.

a = 2.622 Å, b = 3.057 Å, c = 9.870 Å
α = 90.00°, β = 91.65°, γ = 90.00°
Space group P2/m (No. 10)
One atom of each set of equivalent atoms:
Re: 0.000 0.000 0.000 (multiplicity 1)
Hg: 0.000 0.000 0.500 (multiplicity 1)
P: 0.023 0.500 0.192 (multiplicity 2)

No. 4
## Re2HgP (GGA-PBE)

Data for a geometry-optimized Re2HgP structure.

The calculated total energy is -6.655 eV/atom. The calculation puts the offset from the most stable computed form at 725 meV/atom.

a = 2.988 Å, b = 4.559 Å, c = 4.780 Å
α = 90.00°, β = 90.00°, γ = 90.00°
Space group Pmmm (No. 47)
One atom of each set of equivalent atoms:
Re: 0.000 0.000 0.000 (multiplicity 1)
Re: 0.500 0.000 0.500 (multiplicity 1)
Hg: 0.000 0.500 0.500 (multiplicity 1)
P: 0.500 0.500 0.000 (multiplicity 1)

No. 5
## Re2HgP (GGA-PBE)

Data for a geometry-optimized Re2HgP structure.

The calculated total energy is -6.775 eV/atom. The calculation puts the offset from the most stable computed form at 605 meV/atom.

a = 4.156 Å, b = 4.156 Å, c = 17.471 Å
α = 90.00°, β = 90.00°, γ = 90.00°
Space group I-42d (No. 122)
One atom of each set of equivalent atoms:
Re: 0.154 0.250 0.125 (multiplicity 8)
Hg: 0.000 0.000 0.500 (multiplicity 4)
P: 0.000 0.000 0.000 (multiplicity 4)

No. 6
## ReHgP2 (GGA-PBE)

Data for a geometry-optimized ReHgP2 structure.

The calculated total energy is -5.155 eV/atom.

a = 7.147 Å, b = 7.438 Å, c = 2.649 Å
α = 90.00°, β = 90.48°, γ = 90.00°
Space group C2/m (No. 12)
One atom of each set of equivalent atoms:
Re: 0.000 0.000 0.000 (multiplicity 2)
Hg: 0.000 0.500 0.000 (multiplicity 2)
P: 0.250 0.250 0.000 (multiplicity 4)

No. 7
## ReHgP4 (GGA-PBE)

Data for a geometry-optimized ReHgP4 structure.

The calculated total energy is -4.630 eV/atom.

a = 7.243 Å, b = 7.243 Å, c = 7.243 Å
α = 90.00°, β = 90.00°, γ = 90.00°
Space group F-43m (No. 216)
One atom of each set of equivalent atoms:
Re: 0.000 0.000 0.000 (multiplicity 4)
Hg: 0.250 0.250 0.750 (multiplicity 4)
P: 0.131 0.131 0.369 (multiplicity 16)

No. 8
## ReHgP2 (GGA-PBE)

Data for a geometry-optimized ReHgP2 structure.

The calculated total energy is -5.777 eV/atom.

a = 2.959 Å, b = 3.110 Å, c = 17.655 Å
α = 90.00°, β = 90.00°, γ = 90.00°
Space group Imm2 (No. 44)
One atom of each set of equivalent atoms:
Re: 0.000 0.000 0.000 (multiplicity 2)
Hg: 0.000 0.500 0.737 (multiplicity 2)
P: 0.000 0.000 0.568 (multiplicity 2)
P: 0.000 0.500 0.396 (multiplicity 2)

No. 9
## Re2HgP (GGA-PBE)

Data for a geometry-optimized Re2HgP structure.

The calculated total energy is -7.379 eV/atom. The calculation puts the offset from the most stable computed form at 0 meV/atom.

a = 2.914 Å, b = 2.914 Å, c = 8.135 Å
α = 90.00°, β = 90.00°, γ = 90.00°
Space group P4mm (No. 99)
One atom of each set of equivalent atoms:
Re: 0.000 0.000 0.000 (multiplicity 1)
Re: 0.500 0.500 0.210 (multiplicity 1)
Hg: 0.000 0.000 0.477 (multiplicity 1)
P: 0.500 0.500 0.819 (multiplicity 1)

No. 10
## ReHgP (GGA-PBE)

Data for a geometry-optimized ReHgP structure.

The calculated total energy is -5.772 eV/atom. The calculation puts the offset from the most stable computed form at 88 meV/atom.

a = 3.130 Å, b = 3.130 Å, c = 10.393 Å
α = 90.00°, β = 90.00°, γ = 90.00°
Space group I4mm (No. 107)
One atom of each set of equivalent atoms:
Re: 0.000 0.000 0.000 (multiplicity 2)
Hg: 0.000 0.000 0.296 (multiplicity 2)
P: 0.000 0.000 0.592 (multiplicity 2)

No. 11
## Re2HgP (GGA-PBE)

Data for a geometry-optimized Re2HgP structure.

The calculated total energy is -7.090 eV/atom. The calculation puts the offset from the most stable computed form at 289 meV/atom.

a = 2.988 Å, b = 4.957 Å, c = 8.699 Å
α = 90.00°, β = 90.00°, γ = 90.00°
Space group Cmmm (No. 65)
One atom of each set of equivalent atoms:
Re: 0.000 0.000 0.207 (multiplicity 4)
Hg: 0.000 0.500 0.500 (multiplicity 2)
P: 0.000 0.500 0.000 (multiplicity 2)

No. 12
## ReHgP (GGA-PBE)

Data for a geometry-optimized ReHgP structure.

The calculated total energy is -5.576 eV/atom. The calculation puts the offset from the most stable computed form at 284 meV/atom.

a = 3.044 Å, b = 4.930 Å, c = 15.560 Å
α = 90.00°, β = 90.00°, γ = 90.00°
Space group Fmm2 (No. 42)
One atom of each set of equivalent atoms:
Re: 0.000 0.000 0.000 (multiplicity 4)
Hg: 0.000 0.000 0.668 (multiplicity 4)
P: 0.000 0.000 0.389 (multiplicity 4)

| no. | formation energy (eV per atom) |
| --- | --- |
| 1 | 1.028 |
| 2 | 1.146 |
| 3 | 0.318 |
| 4 | 0.997 |
| 5 | 0.877 |
| 6 | 0.737 |
| 7 | 1.102 |
| 8 | 0.116 |
| 9 | 0.273 |
| 10 | 0.282 |
| 11 | 0.562 |
| 12 | 0.477 |